1.
KGdCoS3 | PBE-GGA | optimized geometry

Computed properties:
The calculation puts the theoretical density at 4.0 Mg/m³. For the total DFT energy (no corrections), the calculation gives -5.49 eV/atom. The total magnetic moment is 12.01 μB/cell.

abc: 10.5778 3.9539 14.0552
angles: 90.00 90.00 90.00
Each line ends with the local moment (μB).
Fractional positions:
S: 0.4481 0.2500 0.8678  0.12
S: 0.9481 0.2500 0.6322  0.12
S: 0.2627 0.7500 0.6913  0.16
S: 0.9033 0.7500 0.1200  0.12
S: 0.5967 0.2500 0.6200  0.12
S: 0.4033 0.7500 0.3800  0.12
S: 0.0519 0.7500 0.3678  0.12
S: 0.2373 0.2500 0.1913  0.16
S: 0.0967 0.2500 0.8800  0.12
S: 0.7373 0.2500 0.3087  0.16
S: 0.7627 0.7500 0.8087  0.16
S: 0.5519 0.7500 0.1322  0.12
Co: 0.2331 0.7500 0.2836  2.17
Co: 0.7669 0.2500 0.7164  2.17
Co: 0.2669 0.2500 0.7836  2.17
Co: 0.7331 0.7500 0.2164  2.17
Gd: 0.0160 0.7500 0.7592  0.03
Gd: 0.5160 0.7500 0.7408  0.03
Gd: 0.9840 0.2500 0.2408  0.03
Gd: 0.4840 0.2500 0.2592  0.03
K: 0.7212 0.2500 0.9911  0.00
K: 0.7788 0.7500 0.4911  0.00
K: 0.2788 0.7500 0.0089  0.00
K: 0.2212 0.2500 0.5089  0.00



2.
Ge3Ir2S3 | PBE-GGA | optimized geometry

Computed properties:
The calculation puts the theoretical density at 7.9 Mg/m³. For the total DFT energy (no corrections), the calculation gives -6.01 eV/atom. The total magnetic moment is 0.00 μB/cell.

abc: 8.3817 8.3817 8.3817
angles: 89.85 90.15 90.15
Fractional positions:
S: 0.1467 0.6409 0.5018
S: 0.6469 0.8585 0.0000
S: 0.8533 0.3591 0.4982
S: 0.0000 0.6469 0.1415
S: 0.4982 0.8533 0.6409
S: 0.3531 0.1415 0.0000
S: 0.3591 0.5018 0.8533
S: 0.1415 0.0000 0.3531
S: 0.5018 0.1467 0.3591
S: 0.8585 0.0000 0.6469
S: 0.6409 0.4982 0.1467
S: 0.0000 0.3531 0.8585
Ir: 0.7469 0.2531 0.2531
Ir: 0.2460 0.2537 0.7529
Ir: 0.7540 0.7463 0.2471
Ir: 0.2537 0.2471 0.2460
Ir: 0.2531 0.7469 0.7469
Ir: 0.2471 0.7540 0.2537
Ir: 0.7463 0.7529 0.7540
Ir: 0.7529 0.2460 0.7463
Ge: 0.6618 0.1444 0.9991
Ge: 0.8556 0.9991 0.3382
Ge: 0.9991 0.6618 0.8556
Ge: 0.3552 0.5022 0.1614
Ge: 0.1444 0.0009 0.6618
Ge: 0.8386 0.6448 0.5022
Ge: 0.5022 0.8386 0.3552
Ge: 0.3382 0.8556 0.0009
Ge: 0.0009 0.3382 0.1444
Ge: 0.4978 0.1614 0.6448
Ge: 0.6448 0.4978 0.8386
Ge: 0.1614 0.3552 0.4978



3.
ZrCuReTe | PBE-GGA | optimized geometry

Computed properties:
The calculation puts the theoretical density at 11.0 Mg/m³. For the total DFT energy (no corrections), the calculation gives -6.72 eV/atom. The total magnetic moment is 0.00 μB/cell.

abc: 4.6423 4.6423 4.6423
angles: 60.00 60.00 60.00
Fractional positions:
Cu: 0.7500 0.7500 0.7500
Zr: 0.0000 0.0000 0.0000
Te: 0.5000 0.5000 0.5000
Re: 0.2500 0.2500 0.2500